The following is a GGA-PBE calculation of a relaxed structure of CoSnH6Pd, from Alexandria.

Unit cell a=4.5963 b=5.3576 c=4.4397 alpha=97.45 beta=79.23 gamma=52.35
Sites, in units of the cell vectors:
H  0.5722  0.9598  0.2950
H  0.7009  0.3374  0.6213
H  0.4305  0.5578  0.3260
H  0.1213  0.4102  0.2993
H  0.0016  0.5332  0.7802
H  0.2925  0.1660  0.7330
Pd  0.6088  0.7132  0.5657
Sn  0.8604  0.0083  0.8875
Co  0.4115  0.3143  0.4919

Output
The calculation puts the total DFT energy (no corrections) at -3.980 eV per atom. The space-group type is No. 1. The value obtained for the density is 5.97 g/cm3. The size of the total moment is 0.00 Bohr magnetons per cell. Its crystal system is triclinic. The volume comes out at 9.0 A^3/atom.